Below is crystalline Sr2CuNiN at its relaxed geometry, with properties calculated at the PBE level.

Summary:
Raw formation energy = -0.32 eV/atom
Raw total energy = -4.6339 eV/atom
Volume = 20.68 A^3/atom

abc: 5.3669 5.3669 3.5901
angles: 90.00 90.00 90.00
Space group P4/mmm (No. 123)
Inequivalent atoms, fractional coordinates:
Sr 0.0000 0.5000 0.0000 x2
Cu 0.0000 0.0000 0.5000 x1
Ni 0.5000 0.5000 0.5000 x1
N 0.5000 0.5000 0.0000 x1